1.
LiTl2Sn2 (PBE-GGA, optimized geometry); total magnetization = 0.0 Bohr magnetons per cell; energy relative to the elements = 107 meV/atom; raw total energy = -2.824 eV per atom; density of states at the Fermi level = 0.53 states/eV per atom
1.0
4.675 0.000 0.000
0.000 4.675 0.000
0.000 0.000 14.446
Li Tl Sn
2 4 4
Cartesian
0.000 0.000 0.000
2.337 2.337 7.223
0.000 2.337 3.611
0.000 2.337 10.834
2.337 0.000 3.611
2.337 0.000 10.834
0.000 0.000 5.802
0.000 0.000 8.644
2.337 2.337 1.421
2.337 2.337 13.024



2.
LiTlSn (PBE-GGA, optimized geometry); total magnetization = 0.0 Bohr magnetons per cell; energy relative to the elements = -145 meV/atom; raw total energy = -2.906 eV per atom; density of states at the Fermi level = 0.39 states/eV per atom
1.0
3.415 0.000 0.000
0.000 5.616 0.000
-0.001 -0.449 7.630
Li Tl Sn
2 2 2
Cartesian
0.000 0.000 0.000
0.001 1.886 4.789
0.006 3.826 2.385
1.712 4.814 5.188
1.704 2.167 7.293
1.711 1.052 2.329